# 1
The following is a meta-GGA SCAN calculation of MoP2SBr at its PBEsol-relaxed geometry, from Alexandria.

a = 4.686 Å, b = 4.686 Å, c = 4.595 Å
α = 90.00°, β = 90.00°, γ = 90.00°
Sites, in units of the cell vectors:
Mo 0.000 0.000 0.000
P 0.000 0.500 0.500
P 0.500 0.000 0.500
S 0.500 0.500 0.000
Br 0.500 0.500 0.500

Results
As for the volume: 20.2 Å³ per atom. The calculation puts the size of the total moment at 2.476 μB per cell. The calculation puts the electronic total energy at -15.19 eV per atom. As for the space group: P4/mmm. The uncorrected formation energy is 1.765 eV/atom.

***

# 2
The following is a meta-GGA SCAN calculation of CsNbP2 at its PBEsol-relaxed geometry, from Alexandria.

a = 4.858 Å, b = 4.858 Å, c = 4.858 Å
α = 60.00°, β = 60.00°, γ = 60.00°
Sites, in units of the cell vectors:
Cs 0.000 0.000 0.000
Nb 0.500 0.500 0.500
P 0.250 0.250 0.250
P 0.750 0.750 0.750

Results
As for the volume: 20.3 Å³ per atom. The calculation puts the size of the total moment at 1.037 μB per cell. The calculation puts the electronic total energy at -22.10 eV per atom. As for the space group: Fm-3m.